Record 1
Here is an optimized crystal structure of AcTc2PN2 from Alexandria. Energies are from PBE.

a b c (Å): 6.438 5.390 6.821
angles (deg): 90.00 107.85 90.00
Sites, in units of the cell vectors:
1 Ac 0.166 0.250 0.285
2 Ac 0.834 0.750 0.715
3 Tc 0.357 0.503 0.799
4 Tc 0.357 0.997 0.799
5 Tc 0.643 0.003 0.201
6 Tc 0.643 0.497 0.201
7 P 0.306 0.750 0.070
8 P 0.694 0.250 0.930
9 N 0.153 0.250 0.664
10 N 0.435 0.750 0.632
11 N 0.565 0.250 0.368
12 N 0.847 0.750 0.336

Values from the calculation:
Its total magnetization is 0.000 μB/f.u. The space group is P2_1/m. For the raw formation energy, the calculation gives -0.5326 eV/atom.


Record 2
Here is an optimized crystal structure of Cu2NiAg from Alexandria. Energies are from PBE.

a b c (Å): 2.673 2.673 25.701
angles (deg): 90.00 90.00 120.00
Sites, in units of the cell vectors:
1 Cu 0.000 0.000 0.000
2 Cu 0.000 0.000 0.255
3 Cu 0.333 0.667 0.667
4 Cu 0.333 0.667 0.921
5 Cu 0.667 0.333 0.333
6 Cu 0.667 0.333 0.588
7 Ni 0.000 0.000 0.511
8 Ni 0.333 0.667 0.178
9 Ni 0.667 0.333 0.845
10 Ag 0.000 0.000 0.757
11 Ag 0.333 0.667 0.423
12 Ag 0.667 0.333 0.090

Values from the calculation:
Its total magnetization is 0.000 μB/f.u. The space group is R3m. As for the energy of formation: 0.160 eV per atom.


Record 3
Here is an optimized crystal structure of KAsPdSe2 from Alexandria. Energies are from PBE.

a b c (Å): 5.295 5.295 4.707
angles (deg): 90.00 90.00 90.00
Sites, in units of the cell vectors:
1 K 0.000 0.000 0.000
2 As 0.500 0.500 0.000
3 Pd 0.500 0.500 0.500
4 Se 0.000 0.500 0.500
5 Se 0.500 0.000 0.500

Values from the calculation:
Its total magnetization is 0.000 μB/f.u. Its energy above the lowest structure with this stoichiometry is 0 meV/atom. The space group is P4/mmm. For the raw formation energy, the calculation gives -0.1222 eV/atom.


Record 4
Here is an optimized crystal structure of CrMoP2 from Alexandria. Energies are from PBE.

a b c (Å): 7.349 2.899 5.046
angles (deg): 90.00 102.38 90.00
Sites, in units of the cell vectors:
1 Cr 0.000 0.000 0.000
2 Cr 0.500 0.500 0.000
3 Mo 0.000 0.500 0.500
4 Mo 0.500 0.000 0.500
5 P 0.245 0.500 0.214
6 P 0.255 0.000 0.786
7 P 0.745 0.000 0.214
8 P 0.755 0.500 0.786

Values from the calculation:
Its total magnetization is 0.000 μB/f.u. Its energy above the lowest structure with this stoichiometry is 407 meV/atom. The space group is C2/m. As for the energy of formation: -0.121 eV per atom.


Record 5
Here is an optimized crystal structure of Sr2YTe4 from Alexandria. Energies are from PBE.

a b c (Å): 5.855 5.855 16.507
angles (deg): 90.00 90.00 90.00
Sites, in units of the cell vectors:
1 Sr 0.000 0.000 0.126
2 Sr 0.000 0.000 0.874
3 Sr 0.500 0.500 0.374
4 Sr 0.500 0.500 0.626
5 Y 0.000 0.000 0.500
6 Y 0.500 0.500 0.000
7 Te 0.000 0.000 0.317
8 Te 0.000 0.000 0.683
9 Te 0.000 0.500 0.000
10 Te 0.000 0.500 0.500
11 Te 0.500 0.000 0.000
12 Te 0.500 0.000 0.500
13 Te 0.500 0.500 0.183
14 Te 0.500 0.500 0.817

Values from the calculation:
Its total magnetization is 0.000 μB/f.u. The space group is I4/mmm. For the raw formation energy, the calculation gives -1.2179 eV/atom.


Record 6
Here is an optimized crystal structure of TiBeP2N6 from Alexandria. Energies are from PBE.

a b c (Å): 6.594 6.594 5.197
angles (deg): 108.69 108.69 91.95
Sites, in units of the cell vectors:
1 Ti 0.119 0.881 0.750
2 Ti 0.881 0.119 0.250
3 Be 0.177 0.823 0.250
4 Be 0.823 0.177 0.750
5 P 0.237 0.420 0.853
6 P 0.420 0.237 0.353
7 P 0.580 0.763 0.647
8 P 0.763 0.580 0.147
9 N 0.069 0.201 0.690
10 N 0.160 0.651 0.913
11 N 0.201 0.069 0.190
12 N 0.349 0.840 0.587
13 N 0.408 0.416 0.176
14 N 0.416 0.408 0.676
15 N 0.584 0.592 0.324
16 N 0.592 0.584 0.824
17 N 0.651 0.160 0.413
18 N 0.799 0.931 0.810
19 N 0.840 0.349 0.087
20 N 0.931 0.799 0.310

Values from the calculation:
Its total magnetization is 0.000 μB/f.u. The space group is C2/c. For the raw formation energy, the calculation gives -0.6021 eV/atom.


Record 7
Here is an optimized crystal structure of MnS from Alexandria. Energies are from PBE.

a b c (Å): 6.661 6.183 5.319
angles (deg): 70.32 60.93 48.76
Sites, in units of the cell vectors:
1 Mn 0.001 0.001 0.749
2 Mn 0.251 0.251 0.999
3 Mn 0.749 0.749 0.001
4 Mn 0.999 0.999 0.251
5 S 0.083 0.667 0.083
6 S 0.333 0.917 0.333
7 S 0.667 0.083 0.667
8 S 0.917 0.333 0.917

Values from the calculation:
Its total magnetization is 0.000 μB/f.u. The space group is Fddd. For the raw formation energy, the calculation gives -0.4136 eV/atom.


Record 8
Here is an optimized crystal structure of NaAsSe2Br from Alexandria. Energies are from PBE.

a b c (Å): 4.992 4.992 5.668
angles (deg): 90.00 90.00 90.00
Sites, in units of the cell vectors:
1 Na 0.000 0.000 0.000
2 As 0.000 0.000 0.500
3 Se 0.000 0.500 0.000
4 Se 0.500 0.000 0.000
5 Br 0.500 0.500 0.500

Values from the calculation:
Its total magnetization is 0.008 μB/f.u. Its energy above the lowest structure with this stoichiometry is 1076 meV/atom. The space group is P4/mmm. For the raw formation energy, the calculation gives 0.8402 eV/atom.


Record 9
Here is an optimized crystal structure of TbPm2Ru from Alexandria. Energies are from PBE.

a b c (Å): 4.855 4.855 15.564
angles (deg): 90.00 90.00 120.00
Sites, in units of the cell vectors:
1 Tb 0.000 0.000 0.000
2 Tb 0.333 0.667 0.667
3 Tb 0.667 0.333 0.333
4 Pm 0.000 0.000 0.230
5 Pm 0.000 0.000 0.770
6 Pm 0.333 0.667 0.437
7 Pm 0.333 0.667 0.897
8 Pm 0.667 0.333 0.103
9 Pm 0.667 0.333 0.563
10 Ru 0.000 0.000 0.500
11 Ru 0.333 0.667 0.167
12 Ru 0.667 0.333 0.833

Values from the calculation:
Its total magnetization is 0.000 μB/f.u. Its energy above the lowest structure with this stoichiometry is 367 meV/atom. The space group is R-3m. As for the energy of formation: 0.126 eV per atom.


Record 10
Here is an optimized crystal structure of AlCu2HPt from Alexandria. Energies are from PBE.

a b c (Å): 3.791 3.791 3.962
angles (deg): 90.00 90.00 90.00
Sites, in units of the cell vectors:
1 Al 0.000 0.000 0.000
2 Cu 0.000 0.500 0.500
3 Cu 0.500 0.000 0.500
4 H 0.500 0.500 0.500
5 Pt 0.500 0.500 0.000

Values from the calculation:
Its total magnetization is 0.000 μB/f.u. Its energy above the lowest structure with this stoichiometry is 24 meV/atom. The space group is P4/mmm.


Record 11
Here is an optimized crystal structure of Ce4TcSb from Alexandria. Energies are from PBE.

a b c (Å): 8.229 8.229 7.105
angles (deg): 109.32 109.32 111.99
Sites, in units of the cell vectors:
1 Ce 0.056 0.563 0.797
2 Ce 0.186 0.230 0.753
3 Ce 0.230 0.186 0.253
4 Ce 0.437 0.944 0.703
5 Ce 0.563 0.056 0.297
6 Ce 0.770 0.814 0.747
7 Ce 0.814 0.770 0.247
8 Ce 0.944 0.437 0.203
9 Tc 0.139 0.861 0.750
10 Tc 0.861 0.139 0.250
11 Sb 0.389 0.611 0.250
12 Sb 0.611 0.389 0.750

Values from the calculation:
Its total magnetization is 4.391 μB/f.u. Its energy above the lowest structure with this stoichiometry is 178 meV/atom. The space group is C2/c. For the raw formation energy, the calculation gives -0.2108 eV/atom.


Record 12
Here is an optimized crystal structure of CePrTmPa from Alexandria. Energies are from PBE.

a b c (Å): 7.851 7.851 7.851
angles (deg): 90.00 90.00 90.00
Sites, in units of the cell vectors:
1 Ce 0.000 0.000 0.000
2 Ce 0.000 0.500 0.500
3 Ce 0.500 0.000 0.500
4 Ce 0.500 0.500 0.000
5 Pr 0.000 0.000 0.500
6 Pr 0.000 0.500 0.000
7 Pr 0.500 0.000 0.000
8 Pr 0.500 0.500 0.500
9 Tm 0.250 0.250 0.250
10 Tm 0.250 0.750 0.750
11 Tm 0.750 0.250 0.750
12 Tm 0.750 0.750 0.250
13 Pa 0.250 0.250 0.750
14 Pa 0.250 0.750 0.250
15 Pa 0.750 0.250 0.250
16 Pa 0.750 0.750 0.750

Values from the calculation:
Its total magnetization is 3.624 μB/f.u. The space group is F-43m. As for the energy of formation: 0.397 eV per atom.


Record 13
Here is an optimized crystal structure of NiSbTe2Se from Alexandria. Energies are from PBE.

a b c (Å): 5.047 5.047 4.966
angles (deg): 90.00 90.00 90.00
Sites, in units of the cell vectors:
1 Ni 0.000 0.000 0.000
2 Sb 0.000 0.000 0.500
3 Te 0.000 0.500 0.000
4 Te 0.500 0.000 0.000
5 Se 0.500 0.500 0.500

Values from the calculation:
Its total magnetization is 0.000 μB/f.u. Its energy above the lowest structure with this stoichiometry is 0 meV/atom. The space group is P4/mmm. For the raw formation energy, the calculation gives 0.3613 eV/atom.


Record 14
Here is an optimized crystal structure of BaDyTlHg from Alexandria. Energies are from PBE.

a b c (Å): 8.030 8.030 8.030
angles (deg): 90.00 90.00 90.00
Sites, in units of the cell vectors:
1 Ba 0.000 0.000 0.000
2 Ba 0.000 0.500 0.500
3 Ba 0.500 0.000 0.500
4 Ba 0.500 0.500 0.000
5 Dy 0.000 0.000 0.500
6 Dy 0.000 0.500 0.000
7 Dy 0.500 0.000 0.000
8 Dy 0.500 0.500 0.500
9 Tl 0.250 0.250 0.750
10 Tl 0.250 0.750 0.250
11 Tl 0.750 0.250 0.250
12 Tl 0.750 0.750 0.750
13 Hg 0.250 0.250 0.250
14 Hg 0.250 0.750 0.750
15 Hg 0.750 0.250 0.750
16 Hg 0.750 0.750 0.250

Values from the calculation:
Its total magnetization is 0.000 μB/f.u. The space group is F-43m. As for the energy of formation: -0.312 eV per atom.


Record 15
Here is an optimized crystal structure of Re2Te2O from Alexandria. Energies are from PBE.

a b c (Å): 5.813 5.813 5.426
angles (deg): 90.00 90.00 90.00
Sites, in units of the cell vectors:
1 Re 0.202 0.298 0.000
2 Re 0.298 0.798 0.000
3 Re 0.702 0.202 0.000
4 Re 0.798 0.702 0.000
5 Te 0.185 0.315 0.500
6 Te 0.315 0.815 0.500
7 Te 0.685 0.185 0.500
8 Te 0.815 0.685 0.500
9 O 0.000 0.000 0.000
10 O 0.500 0.500 0.000

Values from the calculation:
Its total magnetization is 0.000 μB/f.u. Its energy above the lowest structure with this stoichiometry is 93 meV/atom. The space group is P4/mbm. For the raw formation energy, the calculation gives 0.4965 eV/atom.


Record 16
Here is an optimized crystal structure of CeGdPu from Alexandria. Energies are from PBE.

a b c (Å): 3.433 3.433 14.470
angles (deg): 90.00 90.00 90.00
Sites, in units of the cell vectors:
1 Ce 0.000 0.000 0.000
2 Ce 0.500 0.500 0.500
3 Gd 0.000 0.000 0.677
4 Gd 0.500 0.500 0.177
5 Pu 0.000 0.000 0.354
6 Pu 0.500 0.500 0.854

Values from the calculation:
Its total magnetization is 12.680 μB/f.u. Its energy above the lowest structure with this stoichiometry is 0 meV/atom. The space group is I4mm. As for the energy of formation: 0.140 eV per atom.


Record 17
Here is an optimized crystal structure of ZrAl3B from Alexandria. Energies are from PBE.

a b c (Å): 4.308 4.308 4.308
angles (deg): 90.00 90.00 90.00
Sites, in units of the cell vectors:
1 Zr 0.000 0.000 0.000
2 Al 0.000 0.500 0.500
3 Al 0.500 0.000 0.500
4 Al 0.500 0.500 0.000
5 B 0.500 0.500 0.500

Values from the calculation:
Its total magnetization is 0.000 μB/f.u. Its energy above the lowest structure with this stoichiometry is 0 meV/atom. The space group is Pm-3m. As for the energy of formation: 0.238 eV per atom.


Record 18
Here is an optimized crystal structure of K5PdO3 from Alexandria. Energies are from PBE.

a b c (Å): 6.865 6.865 9.886
angles (deg): 96.77 96.77 76.96
Sites, in units of the cell vectors:
1 K 0.075 0.075 0.370
2 K 0.158 0.532 0.293
3 K 0.194 0.806 0.000
4 K 0.279 0.279 0.923
5 K 0.468 0.842 0.707
6 K 0.532 0.158 0.293
7 K 0.721 0.721 0.077
8 K 0.806 0.194 0.000
9 K 0.842 0.468 0.707
10 K 0.925 0.925 0.630
11 Pd 0.344 0.344 0.584
12 Pd 0.656 0.656 0.416
13 O 0.169 0.169 0.149
14 O 0.181 0.181 0.650
15 O 0.500 0.500 0.000
16 O 0.500 0.500 0.500
17 O 0.819 0.819 0.350
18 O 0.831 0.831 0.851

Values from the calculation:
Its total magnetization is 1.033 μB/f.u. The space group is C2/m. For the raw formation energy, the calculation gives -0.8667 eV/atom.


Record 19
Here is an optimized crystal structure of ScAl2BS from Alexandria. Energies are from PBE.

a b c (Å): 5.439 5.439 4.217
angles (deg): 90.00 90.00 90.00
Sites, in units of the cell vectors:
1 Sc 0.000 0.000 0.000
2 Al 0.000 0.500 0.000
3 Al 0.500 0.000 0.000
4 B 0.000 0.000 0.500
5 S 0.500 0.500 0.500

Values from the calculation:
Its total magnetization is 0.000 μB/f.u. The space group is P4/mmm. For the raw formation energy, the calculation gives 1.3517 eV/atom.


Record 20
Here is an optimized crystal structure of LaNdYEr3 from Alexandria. Energies are from PBE.

a b c (Å): 6.456 6.456 11.740
angles (deg): 90.00 90.00 125.95
Sites, in units of the cell vectors:
1 La 0.005 0.995 0.750
2 La 0.995 0.005 0.250
3 Nd 0.500 0.500 0.000
4 Nd 0.500 0.500 0.500
5 Y 0.326 0.674 0.750
6 Y 0.674 0.326 0.250
7 Er 0.175 0.825 0.004
8 Er 0.175 0.825 0.496
9 Er 0.329 0.671 0.250
10 Er 0.671 0.329 0.750
11 Er 0.825 0.175 0.504
12 Er 0.825 0.175 0.996

Values from the calculation:
Its total magnetization is 0.000 μB/f.u. The space group is Cmcm. As for the energy of formation: 0.107 eV per atom.


Record 21
Here is an optimized crystal structure of B2PC from Alexandria. Energies are from PBE.

a b c (Å): 2.905 2.914 5.211
angles (deg): 89.81 73.93 60.27
Sites, in units of the cell vectors:
1 B 0.000 0.000 0.000
2 B 0.067 0.455 0.411
3 P 0.278 0.847 0.600
4 C 0.295 0.323 0.095

Values from the calculation:
Its total magnetization is 0.000 μB/f.u. Its energy above the lowest structure with this stoichiometry is 107 meV/atom. The space group is P1. As for the energy of formation: 0.182 eV per atom.


Record 22
Here is an optimized crystal structure of Pr4Y3Sc2 from Alexandria. Energies are from PBE.

a b c (Å): 8.014 8.014 7.922
angles (deg): 107.48 107.48 36.83
Sites, in units of the cell vectors:
1 Pr 0.053 0.053 0.326
2 Pr 0.277 0.277 0.677
3 Pr 0.723 0.723 0.323
4 Pr 0.947 0.947 0.674
5 Y 0.386 0.386 0.325
6 Y 0.500 0.500 0.000
7 Y 0.614 0.614 0.675
8 Sc 0.170 0.170 0.999
9 Sc 0.830 0.830 0.001

Values from the calculation:
Its total magnetization is 0.000 μB/f.u. Its energy above the lowest structure with this stoichiometry is 0 meV/atom. The space group is C2/m. As for the energy of formation: 0.050 eV per atom.


Record 23
Here is an optimized crystal structure of LiAgTe2 from Alexandria. Energies are from PBE.

a b c (Å): 7.329 7.329 7.329
angles (deg): 90.00 90.00 90.00
Sites, in units of the cell vectors:
1 Li 0.000 0.000 0.000
2 Li 0.000 0.500 0.500
3 Li 0.500 0.000 0.500
4 Li 0.500 0.500 0.000
5 Ag 0.250 0.250 0.250
6 Ag 0.250 0.750 0.750
7 Ag 0.750 0.250 0.750
8 Ag 0.750 0.750 0.250
9 Te 0.000 0.000 0.500
10 Te 0.000 0.500 0.000
11 Te 0.250 0.250 0.750
12 Te 0.250 0.750 0.250
13 Te 0.500 0.000 0.000
14 Te 0.500 0.500 0.500
15 Te 0.750 0.250 0.250
16 Te 0.750 0.750 0.750

Values from the calculation:
Its total magnetization is 0.000 μB/f.u. The space group is F-43m. For the raw formation energy, the calculation gives 0.0512 eV/atom.


Record 24
Here is an optimized crystal structure of ZrTe from Alexandria. Energies are from PBE.

a b c (Å): 3.672 3.672 12.625
angles (deg): 90.00 90.00 120.00
Sites, in units of the cell vectors:
1 Zr 0.000 0.000 0.000
2 Zr 0.333 0.667 0.667
3 Zr 0.667 0.333 0.333
4 Te 0.000 0.000 0.500
5 Te 0.333 0.667 0.167
6 Te 0.667 0.333 0.833

Values from the calculation:
Its total magnetization is 0.000 μB/f.u. The space group is R-3m. For the raw formation energy, the calculation gives -0.5343 eV/atom.